# 1
Density functional theory data (GGA-PBE) for a relaxed Ac8Pm3Y crystal.

Computed properties:
energy relative to the elements: 0.36 eV/atom
DOS at the Fermi energy: 1.515 states/eV per atom
size of the total moment: 0.000 μB/atom
space group: Immm

Unit cell a=9.3465 b=9.3465 c=9.3465 alpha=95.14 beta=133.59 gamma=102.77
Closest atoms and distances in Å follow each position.
Positions (direct):
Ac 0.4981 0.2367 0.2615  1 Y 3.37, 1 Ac 3.51, 1 Pm 3.54
Ac 0.5019 0.7634 0.7385  1 Y 3.37, 1 Ac 3.51, 1 Pm 3.54
Ac 0.0249 0.7633 0.2615  1 Y 3.37, 1 Ac 3.51, 1 Pm 3.54
Ac 0.9751 0.2366 0.7385  1 Y 3.37, 1 Ac 3.51, 1 Pm 3.54
Ac 0.1603 0.4107 0.2504  2 Pm 3.66-3.99, 1 Y 3.67, 5 Ac 3.74-3.80
Ac 0.8397 0.0901 0.2504  2 Pm 3.66-3.99, 1 Y 3.67, 5 Ac 3.74-3.80
Ac 0.8396 0.5893 0.7496  2 Pm 3.66-3.99, 1 Y 3.67, 5 Ac 3.74-3.80
Ac 0.1604 0.9099 0.7496  2 Pm 3.66-3.99, 1 Y 3.67, 5 Ac 3.74-3.80
Pm 0.5000 0.7862 0.2862  10 Ac 3.99-4.24
Pm 0.5000 0.2138 0.7138  10 Ac 3.99-4.24
Pm 0.0000 0.5000 0.5000  8 Ac 3.54-3.66
Y 0.0000 0.0000 0.0000  8 Ac 3.37-3.67

=====

# 2
Density functional theory data (GGA-PBE) for a relaxed Ac3Pm3Y2 crystal.

Computed properties:
energy relative to the elements: 0.10 eV/atom
DOS at the Fermi energy: 1.531 states/eV per atom
size of the total moment: 0.000 μB/atom
space group: Cmcm

Unit cell a=5.4667 b=6.3957 c=19.2115 alpha=90.00 beta=90.00 gamma=115.30
Closest atoms and distances in Å follow each position.
Positions (direct):
Ac 0.6524 0.3049 0.4600  5 Pm 3.59-3.84, 3 Y 3.77-3.87, 3 Ac 3.85-3.86
Ac 0.3476 0.6951 0.9600  5 Pm 3.59-3.84, 3 Y 3.77-3.87, 3 Ac 3.85-3.86
Ac 0.6524 0.3049 0.0400  5 Pm 3.59-3.84, 3 Y 3.77-3.87, 3 Ac 3.85-3.86
Ac 0.3476 0.6951 0.5400  5 Pm 3.59-3.84, 3 Y 3.77-3.87, 3 Ac 3.85-3.86
Ac 0.5816 0.1631 0.2500  3 Pm 3.53-3.54, 4 Y 3.93
Ac 0.4184 0.8369 0.7500  3 Pm 3.53-3.54, 4 Y 3.93
Pm 0.9534 0.9068 0.4150  2 Pm 3.26-3.44, 1 Ac 3.59
Pm 0.0466 0.0932 0.9150  2 Pm 3.26-3.44, 1 Ac 3.59
Pm 0.9534 0.9068 0.0850  2 Pm 3.26-3.44, 1 Ac 3.59
Pm 0.0466 0.0932 0.5850  2 Pm 3.26-3.44, 1 Ac 3.59
Pm 0.8871 0.7742 0.2500  2 Pm 3.26, 3 Ac 3.53-3.54, 4 Y 3.56
Pm 0.1129 0.2258 0.7500  2 Pm 3.26, 3 Ac 3.53-3.54, 4 Y 3.56
Y 0.7319 0.4638 0.8443  5 Pm 3.56-3.88, 1 Y 3.62, 5 Ac 3.77-3.93
Y 0.2681 0.5362 0.3443  5 Pm 3.56-3.88, 1 Y 3.62, 5 Ac 3.77-3.93
Y 0.7319 0.4638 0.6557  5 Pm 3.56-3.88, 1 Y 3.62, 5 Ac 3.77-3.93
Y 0.2681 0.5362 0.1557  5 Pm 3.56-3.88, 1 Y 3.62, 5 Ac 3.77-3.93

=====

# 3
Density functional theory data (GGA-PBE) for a relaxed AcPm4Y2 crystal.

Computed properties:
energy above the most stable polymorph in this dataset: 209 meV/atom
energy relative to the elements: 0.44 eV/atom
DOS at the Fermi energy: 1.770 states/eV per atom
size of the total moment: 0.000 μB/atom
space group: Cmmm

Unit cell a=6.1542 b=6.2607 c=7.3321 alpha=115.27 beta=90.00 gamma=90.00
Closest atoms and distances in Å follow each position.
Positions (direct):
Ac 0.0000 0.5000 0.0000  6 Pm 3.59-3.97
Pm 0.5000 0.6389 0.2777  3 Y 3.15-3.27
Pm 0.0000 0.7995 0.5991  2 Y 3.28, 2 Pm 3.39
Pm 0.5000 0.3611 0.7223  3 Y 3.15-3.27
Pm 0.0000 0.2005 0.4009  2 Y 3.28, 2 Pm 3.39
Y 0.5000 0.1145 0.2290  1 Y 3.04, 5 Pm 3.15-3.28
Y 0.5000 0.8855 0.7710  1 Y 3.04, 5 Pm 3.15-3.28

=====

- Which of these has the highest energy relative to the elements?
  AcPm4Y2

=====

Copy entry 3 word for word.
Density functional theory data (GGA-PBE) for a relaxed AcPm4Y2 crystal.

Computed properties:
energy above the most stable polymorph in this dataset: 209 meV/atom
energy relative to the elements: 0.44 eV/atom
DOS at the Fermi energy: 1.770 states/eV per atom
size of the total moment: 0.000 μB/atom
space group: Cmmm

Unit cell a=6.1542 b=6.2607 c=7.3321 alpha=115.27 beta=90.00 gamma=90.00
Closest atoms and distances in Å follow each position.
Positions (direct):
Ac 0.0000 0.5000 0.0000  6 Pm 3.59-3.97
Pm 0.5000 0.6389 0.2777  3 Y 3.15-3.27
Pm 0.0000 0.7995 0.5991  2 Y 3.28, 2 Pm 3.39
Pm 0.5000 0.3611 0.7223  3 Y 3.15-3.27
Pm 0.0000 0.2005 0.4009  2 Y 3.28, 2 Pm 3.39
Y 0.5000 0.1145 0.2290  1 Y 3.04, 5 Pm 3.15-3.28
Y 0.5000 0.8855 0.7710  1 Y 3.04, 5 Pm 3.15-3.28